{
  "formula": "ScIn2Si",
  "functional": "PBE",
  "state": "relaxed",
  "lattice": [[4.180, 0.000, 0.000], [0.000, 4.180, 0.000], [0.000, 0.000, 4.777]],
  "species": ["In", "In", "Sc", "Si"],
  "frac_coords": [[0.000, 0.000, 0.000], [0.500, 0.500, 0.000], [0.500, 0.000, 0.500], [0.000, 0.500, 0.500]],
  "e_above_lowest_polymorph_kj_per_mol_fu": 7,
  "n_ef_per_ev_cell": 1.46,
  "e_form_raw_ev_per_atom": -0.186
}

---

{
  "formula": "Sc2InSi",
  "functional": "PBE",
  "state": "relaxed",
  "lattice": [[7.613, 0.000, 0.000], [0.000, 7.613, 0.000], [3.806, 3.806, 3.101]],
  "species": ["Sc", "Sc", "Sc", "Sc", "Si", "Si", "In", "In"],
  "frac_coords": [[0.594, 0.125, 0.250], [0.156, 0.625, 0.250], [0.375, 0.406, 0.750], [0.875, 0.844, 0.750], [0.500, 0.500, 0.000], [0.250, 0.750, 0.500], [0.000, 0.000, 0.000], [0.750, 0.250, 0.500]],
  "n_ef_per_ev_cell": 3.56,
  "e_form_raw_ev_per_atom": -0.177
}

---

{
  "formula": "Sc2InSi",
  "functional": "PBE",
  "state": "relaxed",
  "lattice": [[-1.305, 3.111, -0.229], [-2.942, -1.145, 1.213], [2.311, 1.485, 7.005]],
  "species": ["In", "Sc", "Sc", "Si"],
  "frac_coords": [[0.500, 0.500, 0.719], [0.000, 0.000, 0.991], [0.500, 0.500, 0.287], [0.000, 0.000, 0.503]],
  "n_ef_per_ev_cell": 4.62,
  "e_form_raw_ev_per_atom": -0.095
}

---

{
  "formula": "ScIn2Si",
  "functional": "PBE",
  "state": "relaxed",
  "lattice": [[-4.482, -2.199, 2.033], [2.631, -3.086, -3.551], [1.745, -1.309, 2.431]],
  "species": ["In", "In", "Sc", "Si"],
  "frac_coords": [[0.000, 0.000, 0.000], [0.500, 0.500, 0.000], [0.500, 0.000, 0.500], [0.000, 0.500, 0.500]],
  "e_above_lowest_polymorph_kj_per_mol_fu": 52,
  "n_ef_per_ev_cell": 2.49,
  "e_form_raw_ev_per_atom": -0.068
}

---

{
  "formula": "ScInSi2",
  "functional": "PBE",
  "state": "relaxed",
  "lattice": [[3.084, 0.007, 0.000], [-0.007, 3.084, 0.000], [0.000, 0.000, 8.299]],
  "species": ["In", "Sc", "Si", "Si"],
  "frac_coords": [[0.500, 0.500, 0.250], [0.500, 0.500, 0.750], [0.000, 0.000, 0.974], [0.000, 0.000, 0.526]],
  "e_above_lowest_polymorph_kj_per_mol_fu": 72,
  "n_ef_per_ev_cell": 2.48,
  "e_form_raw_ev_per_atom": 0.019
}

---

{
  "formula": "Sc2InSi",
  "functional": "PBE",
  "state": "relaxed",
  "lattice": [[-1.169, 0.497, -3.730], [3.747, -1.142, -1.327], [0.293, -5.549, -0.832]],
  "species": ["In", "Sc", "Sc", "Si"],
  "frac_coords": [[0.500, 0.542, 0.793], [0.000, 0.983, 0.910], [0.500, 0.260, 0.354], [0.000, 0.715, 0.443]],
  "n_ef_per_ev_cell": 3.41,
  "e_form_raw_ev_per_atom": -0.502
}